1.
Computed, not measured: a relaxed ZnTeSe2 crystal at the PBE-GGA level of DFT.

* offset from the most stable computed form: 0.148 eV per atom
* energy relative to the elements, uncorrected: 0.0238 eV per atom

Cell and atoms, written as CIF:
```
data_ZnTeSe2
_chemical_formula_sum 'Zn2 Te2 Se4'
_cell_length_a 3.821
_cell_length_b 7.703
_cell_length_c 7.553
_cell_angle_alpha 90.00
_cell_angle_beta 90.00
_cell_angle_gamma 90.00
_space_group_name_H-M_alt 'C m m m'
_space_group_IT_number 65
_space_group_name_Hall '-C 2 2'
loop_
_atom_site_label
_atom_site_type_symbol
_atom_site_fract_x
_atom_site_fract_y
_atom_site_fract_z
Zn1 Zn 0.000 0.000 0.000
Te1 Te 0.000 0.000 0.500
Se1 Se 0.000 0.500 0.226
```

***

2.
Computed, not measured: a relaxed LiScFe2 crystal at the PBE-GGA level of DFT.

* calculated total energy: -5.8583 eV/atom

Cell and atoms, written as CIF:
```
data_LiScFe2
_chemical_formula_sum 'Li4 Sc4 Fe8'
_cell_length_a 3.623
_cell_length_b 3.623
_cell_length_c 18.054
_cell_angle_alpha 90.00
_cell_angle_beta 90.00
_cell_angle_gamma 90.00
_space_group_name_H-M_alt 'I -4 2 d'
_space_group_IT_number 122
_space_group_name_Hall 'I -4 2bw'
loop_
_atom_site_label
_atom_site_type_symbol
_atom_site_fract_x
_atom_site_fract_y
_atom_site_fract_z
Li1 Li 0.000 0.000 0.000
Sc1 Sc 0.000 0.000 0.500
Fe1 Fe 0.248 0.250 0.125
```

***

3.
Computed, not measured: a relaxed Ta2InIrO crystal at the PBE-GGA level of DFT.

* energy relative to the elements, uncorrected: 1.6757 eV per atom

Cell and atoms, written as CIF:
```
data_Ta2InIrO
_chemical_formula_sum 'Ta2 In1 Ir1 O1'
_cell_length_a 5.168
_cell_length_b 5.168
_cell_length_c 3.762
_cell_angle_alpha 90.00
_cell_angle_beta 90.00
_cell_angle_gamma 90.00
_space_group_name_H-M_alt 'P 4/m m m'
_space_group_IT_number 123
_space_group_name_Hall '-P 4 2'
loop_
_atom_site_label
_atom_site_type_symbol
_atom_site_fract_x
_atom_site_fract_y
_atom_site_fract_z
Ta1 Ta 0.000 0.500 0.000
In1 In 0.000 0.000 0.000
Ir1 Ir 0.500 0.500 0.500
O1 O 0.000 0.000 0.500
```

***

4.
Computed, not measured: a relaxed ErScHg2 crystal at the PBE-GGA level of DFT.

* offset from the most stable computed form: 0.000 eV per atom

Cell and atoms, written as CIF:
```
data_ErScHg2
_chemical_formula_sum 'Er1 Sc1 Hg2'
_cell_length_a 3.593
_cell_length_b 3.593
_cell_length_c 7.255
_cell_angle_alpha 90.00
_cell_angle_beta 90.00
_cell_angle_gamma 90.00
_space_group_name_H-M_alt 'P 4/m m m'
_space_group_IT_number 123
_space_group_name_Hall '-P 4 2'
loop_
_atom_site_label
_atom_site_type_symbol
_atom_site_fract_x
_atom_site_fract_y
_atom_site_fract_z
Er1 Er 0.000 0.000 0.000
Sc1 Sc 0.000 0.000 0.500
Hg1 Hg 0.500 0.500 0.267
```

***

5.
Computed, not measured: a relaxed LaAlCo2 crystal at the PBE-GGA level of DFT.

* calculated total energy: -5.8049 eV/atom

Cell and atoms, written as CIF:
```
data_LaAlCo2
_chemical_formula_sum 'La1 Al1 Co2'
_cell_length_a 3.075
_cell_length_b 3.075
_cell_length_c 6.743
_cell_angle_alpha 90.00
_cell_angle_beta 90.00
_cell_angle_gamma 90.00
_space_group_name_H-M_alt 'P 4/m m m'
_space_group_IT_number 123
_space_group_name_Hall '-P 4 2'
loop_
_atom_site_label
_atom_site_type_symbol
_atom_site_fract_x
_atom_site_fract_y
_atom_site_fract_z
La1 La 0.000 0.000 0.000
Al1 Al 0.000 0.000 0.500
Co1 Co 0.500 0.500 0.309
```